[1]
# CsAg3Se2 | Alexandria | GGA-PBEsol | relaxed
# energy = -3.521 eV/atom
# formation energy without anion corrections = -425 meV/atom
# D(E_F) = 0.0567 states/eV/atom
# space group = C2/m (12)
data_CsAg3Se2
_symmetry_space_group_name_H-M 'P 1'
_symmetry_Int_Tables_number 1
_symmetry_space_group_name_Hall 'P 1'
_cell_length_a 8.483
_cell_length_b 8.483
_cell_length_c 9.062
_cell_angle_alpha 111.50
_cell_angle_beta 111.50
_cell_angle_gamma 29.61
loop_
_atom_site_label
_atom_site_type_symbol
_atom_site_fract_x
_atom_site_fract_y
_atom_site_fract_z
Cs1 Cs 0.139 0.139 0.048
Cs2 Cs 0.861 0.861 0.952
Ag1 Ag 0.056 0.056 0.403
Ag2 Ag 0.312 0.312 0.559
Ag3 Ag 0.413 0.413 0.364
Ag4 Ag 0.587 0.587 0.636
Ag5 Ag 0.688 0.688 0.441
Ag6 Ag 0.944 0.944 0.597
Se1 Se 0.194 0.194 0.686
Se2 Se 0.477 0.477 0.778
Se3 Se 0.523 0.523 0.222
Se4 Se 0.806 0.806 0.314


[2]
# YFe2Br | Alexandria | GGA-PBEsol | relaxed
# energy = -6.113 eV/atom
# formation energy without anion corrections = 541 meV/atom
# D(E_F) = 1.2634 states/eV/atom
# excess energy over the best structure of this formula in the dataset = 0.396 eV/atom
# space group = R-3m (166)
data_YFe2Br
_symmetry_space_group_name_H-M 'P 1'
_symmetry_Int_Tables_number 1
_symmetry_space_group_name_Hall 'P 1'
_cell_length_a 3.270
_cell_length_b 3.270
_cell_length_c 24.652
_cell_angle_alpha 90.00
_cell_angle_beta 90.00
_cell_angle_gamma 120.00
loop_
_atom_site_label
_atom_site_type_symbol
_atom_site_fract_x
_atom_site_fract_y
_atom_site_fract_z
Y1 Y 0.000 0.000 0.000
Y2 Y 0.333 0.667 0.667
Y3 Y 0.667 0.333 0.333
Fe1 Fe 0.000 0.000 0.243
Fe2 Fe 0.000 0.000 0.757
Fe3 Fe 0.333 0.667 0.424
Fe4 Fe 0.333 0.667 0.909
Fe5 Fe 0.667 0.333 0.091
Fe6 Fe 0.667 0.333 0.576
Br1 Br 0.000 0.000 0.500
Br2 Br 0.333 0.667 0.167
Br3 Br 0.667 0.333 0.833


[3]
# Cr5InS8 | Alexandria | GGA-PBEsol | relaxed
# energy = -7.021 eV/atom
# formation energy without anion corrections = -645 meV/atom
# D(E_F) = 0.1952 states/eV/atom
# space group = Cm (8)
data_Cr5InS8
_symmetry_space_group_name_H-M 'P 1'
_symmetry_Int_Tables_number 1
_symmetry_space_group_name_Hall 'P 1'
_cell_length_a 8.987
_cell_length_b 8.987
_cell_length_c 8.426
_cell_angle_alpha 104.62
_cell_angle_beta 104.62
_cell_angle_gamma 21.90
loop_
_atom_site_label
_atom_site_type_symbol
_atom_site_fract_x
_atom_site_fract_y
_atom_site_fract_z
Cr1 Cr 0.000 0.000 0.000
Cr2 Cr 0.046 0.046 0.363
Cr3 Cr 0.342 0.342 0.028
Cr4 Cr 0.639 0.639 0.695
Cr5 Cr 0.686 0.686 0.059
In1 In 0.856 0.856 0.525
S1 S 0.106 0.106 0.875
S2 S 0.172 0.172 0.538
S3 S 0.259 0.259 0.209
S4 S 0.427 0.427 0.850
S5 S 0.512 0.512 0.520
S6 S 0.580 0.580 0.186
S7 S 0.766 0.766 0.876
S8 S 0.918 0.918 0.182


[4]
# GaHg2MoP | Alexandria | GGA-PBEsol | relaxed
# energy = -3.172 eV/atom
# D(E_F) = 0.6342 states/eV/atom
# E_form = 6.17 eV per formula unit
# space group = P4/mmm (123)
data_GaHg2MoP
_symmetry_space_group_name_H-M 'P 1'
_symmetry_Int_Tables_number 1
_symmetry_space_group_name_Hall 'P 1'
_cell_length_a 4.967
_cell_length_b 4.967
_cell_length_c 4.700
_cell_angle_alpha 90.00
_cell_angle_beta 90.00
_cell_angle_gamma 90.00
loop_
_atom_site_label
_atom_site_type_symbol
_atom_site_fract_x
_atom_site_fract_y
_atom_site_fract_z
Ga1 Ga 0.000 0.000 0.000
Hg1 Hg 0.000 0.500 0.000
Hg2 Hg 0.500 0.000 0.000
Mo1 Mo 0.500 0.500 0.500
P1 P 0.000 0.000 0.500


[5]
# Ni2SbBr | Alexandria | GGA-PBEsol | relaxed
# energy = -4.658 eV/atom
# formation energy without anion corrections = 28 meV/atom
# D(E_F) = 0.8415 states/eV/atom
# excess energy over the best structure of this formula in the dataset = 0.000 eV/atom
# space group = P4mm (99)
data_Ni2SbBr
_symmetry_space_group_name_H-M 'P 1'
_symmetry_Int_Tables_number 1
_symmetry_space_group_name_Hall 'P 1'
_cell_length_a 3.245
_cell_length_b 3.245
_cell_length_c 6.844
_cell_angle_alpha 90.00
_cell_angle_beta 90.00
_cell_angle_gamma 90.00
loop_
_atom_site_label
_atom_site_type_symbol
_atom_site_fract_x
_atom_site_fract_y
_atom_site_fract_z
Ni1 Ni 0.000 0.000 0.000
Ni2 Ni 0.500 0.500 0.175
Sb1 Sb 0.000 0.000 0.371
Br1 Br 0.500 0.500 0.828


[6]
# FeNiW | Alexandria | GGA-PBEsol | relaxed
# energy = -8.923 eV/atom
# D(E_F) = 1.5989 states/eV/atom
# excess energy over the best structure of this formula in the dataset = 0.010 eV/atom
# E_form = 2.16 eV per formula unit
# space group = F-43m (216)
data_FeNiW
_symmetry_space_group_name_H-M 'P 1'
_symmetry_Int_Tables_number 1
_symmetry_space_group_name_Hall 'P 1'
_cell_length_a 5.531
_cell_length_b 5.531
_cell_length_c 5.531
_cell_angle_alpha 90.00
_cell_angle_beta 90.00
_cell_angle_gamma 90.00
loop_
_atom_site_label
_atom_site_type_symbol
_atom_site_fract_x
_atom_site_fract_y
_atom_site_fract_z
Fe1 Fe 0.000 0.000 0.000
Fe2 Fe 0.000 0.500 0.500
Fe3 Fe 0.500 0.000 0.500
Fe4 Fe 0.500 0.500 0.000
Ni1 Ni 0.250 0.250 0.250
Ni2 Ni 0.250 0.750 0.750
Ni3 Ni 0.750 0.250 0.750
Ni4 Ni 0.750 0.750 0.250
W1 W 0.000 0.000 0.500
W2 W 0.000 0.500 0.000
W3 W 0.500 0.000 0.000
W4 W 0.500 0.500 0.500


[7]
# CrRh3 | Alexandria | GGA-PBEsol | relaxed
# energy = -8.704 eV/atom
# D(E_F) = 1.2968 states/eV/atom
# E_form = -0.16 eV per formula unit
# space group = Pmmm (47)
data_CrRh3
_symmetry_space_group_name_H-M 'P 1'
_symmetry_Int_Tables_number 1
_symmetry_space_group_name_Hall 'P 1'
_cell_length_a 2.629
_cell_length_b 3.711
_cell_length_c 5.298
_cell_angle_alpha 90.00
_cell_angle_beta 90.00
_cell_angle_gamma 90.00
loop_
_atom_site_label
_atom_site_type_symbol
_atom_site_fract_x
_atom_site_fract_y
_atom_site_fract_z
Cr1 Cr 0.000 0.000 0.000
Rh1 Rh 0.000 0.000 0.500
Rh2 Rh 0.500 0.500 0.242
Rh3 Rh 0.500 0.500 0.758


[8]
# Ga2AgIr2 | Alexandria | GGA-PBEsol | relaxed
# energy = -6.173 eV/atom
# D(E_F) = 0.4011 states/eV/atom
# E_form = -1.23 eV per formula unit
# space group = P4/mbm (127)
data_Ga2AgIr2
_symmetry_space_group_name_H-M 'P 1'
_symmetry_Int_Tables_number 1
_symmetry_space_group_name_Hall 'P 1'
_cell_length_a 7.207
_cell_length_b 7.207
_cell_length_c 2.892
_cell_angle_alpha 90.00
_cell_angle_beta 90.00
_cell_angle_gamma 90.00
loop_
_atom_site_label
_atom_site_type_symbol
_atom_site_fract_x
_atom_site_fract_y
_atom_site_fract_z
Ga1 Ga 0.155 0.345 0.000
Ga2 Ga 0.345 0.845 0.000
Ga3 Ga 0.655 0.155 0.000
Ga4 Ga 0.845 0.655 0.000
Ag1 Ag 0.000 0.000 0.500
Ag2 Ag 0.500 0.500 0.500
Ir1 Ir 0.143 0.643 0.500
Ir2 Ir 0.357 0.143 0.500
Ir3 Ir 0.643 0.857 0.500
Ir4 Ir 0.857 0.357 0.500


[9]
# Ba2TeP2O9 | Alexandria | GGA-PBEsol | relaxed
# energy = -7.190 eV/atom
# formation energy without anion corrections = -2429 meV/atom
# D(E_F) = 0.0000 states/eV/atom
# space group = P-1 (2)
data_Ba2TeP2O9
_symmetry_space_group_name_H-M 'P 1'
_symmetry_Int_Tables_number 1
_symmetry_space_group_name_Hall 'P 1'
_cell_length_a 6.951
_cell_length_b 7.406
_cell_length_c 8.896
_cell_angle_alpha 77.03
_cell_angle_beta 79.83
_cell_angle_gamma 75.38
loop_
_atom_site_label
_atom_site_type_symbol
_atom_site_fract_x
_atom_site_fract_y
_atom_site_fract_z
Ba1 Ba 0.101 0.381 0.244
Ba2 Ba 0.370 0.805 0.418
Ba3 Ba 0.630 0.195 0.582
Ba4 Ba 0.899 0.619 0.756
Te1 Te 0.353 0.888 0.956
Te2 Te 0.647 0.112 0.044
P1 P 0.137 0.122 0.647
P2 P 0.377 0.521 0.817
P3 P 0.623 0.479 0.183
P4 P 0.863 0.878 0.353
O1 O 0.041 0.707 0.349
O2 O 0.069 0.933 0.675
O3 O 0.197 0.534 0.942
O4 O 0.274 0.113 0.778
O5 O 0.280 0.149 0.493
O6 O 0.328 0.521 0.656
O7 O 0.377 0.072 0.102
O8 O 0.449 0.656 0.144
O9 O 0.474 0.699 0.802
O10 O 0.526 0.301 0.198
O11 O 0.551 0.344 0.856
O12 O 0.623 0.928 0.898
O13 O 0.672 0.479 0.344
O14 O 0.720 0.851 0.507
O15 O 0.726 0.887 0.222
O16 O 0.803 0.466 0.058
O17 O 0.931 0.067 0.325
O18 O 0.959 0.293 0.651


[10]
# Na2GdTa5O15 | Alexandria | GGA-PBEsol | relaxed
# energy = -9.746 eV/atom
# formation energy without anion corrections = -2844 meV/atom
# D(E_F) = 0.0000 states/eV/atom
# space group = P4/mbm (127)
data_Na2GdTa5O15
_symmetry_space_group_name_H-M 'P 1'
_symmetry_Int_Tables_number 1
_symmetry_space_group_name_Hall 'P 1'
_cell_length_a 12.482
_cell_length_b 12.482
_cell_length_c 3.898
_cell_angle_alpha 90.00
_cell_angle_beta 90.00
_cell_angle_gamma 90.00
loop_
_atom_site_label
_atom_site_type_symbol
_atom_site_fract_x
_atom_site_fract_y
_atom_site_fract_z
Na1 Na 0.157 0.343 0.000
Na2 Na 0.343 0.843 0.000
Na3 Na 0.657 0.157 0.000
Na4 Na 0.843 0.657 0.000
Gd1 Gd 0.000 0.000 0.000
Gd2 Gd 0.500 0.500 0.000
Ta1 Ta 0.000 0.500 0.500
Ta2 Ta 0.079 0.789 0.500
Ta3 Ta 0.211 0.079 0.500
Ta4 Ta 0.289 0.579 0.500
Ta5 Ta 0.421 0.289 0.500
Ta6 Ta 0.500 0.000 0.500
Ta7 Ta 0.579 0.711 0.500
Ta8 Ta 0.711 0.421 0.500
Ta9 Ta 0.789 0.921 0.500
Ta10 Ta 0.921 0.211 0.500
O1 O 0.000 0.500 0.000
O2 O 0.003 0.341 0.500
O3 O 0.059 0.131 0.500
O4 O 0.077 0.810 0.000
O5 O 0.131 0.941 0.500
O6 O 0.159 0.497 0.500
O7 O 0.190 0.077 0.000
O8 O 0.222 0.722 0.500
O9 O 0.278 0.222 0.500
O10 O 0.310 0.577 0.000
O11 O 0.341 0.997 0.500
O12 O 0.369 0.441 0.500
O13 O 0.423 0.310 0.000
O14 O 0.441 0.631 0.500
O15 O 0.497 0.841 0.500
O16 O 0.500 0.000 0.000
O17 O 0.503 0.159 0.500
O18 O 0.559 0.369 0.500
O19 O 0.577 0.690 0.000
O20 O 0.631 0.559 0.500
O21 O 0.659 0.003 0.500
O22 O 0.690 0.423 0.000
O23 O 0.722 0.778 0.500
O24 O 0.778 0.278 0.500
O25 O 0.810 0.923 0.000
O26 O 0.841 0.503 0.500
O27 O 0.869 0.059 0.500
O28 O 0.923 0.190 0.000
O29 O 0.941 0.869 0.500
O30 O 0.997 0.659 0.500


[11]
# TaFe2Re | Alexandria | GGA-PBEsol | relaxed
# energy = -10.976 eV/atom
# D(E_F) = 0.8283 states/eV/atom
# E_form = -0.09 eV per formula unit
# space group = P4mm (99)
data_TaFe2Re
_symmetry_space_group_name_H-M 'P 1'
_symmetry_Int_Tables_number 1
_symmetry_space_group_name_Hall 'P 1'
_cell_length_a 3.054
_cell_length_b 3.054
_cell_length_c 5.789
_cell_angle_alpha 90.00
_cell_angle_beta 90.00
_cell_angle_gamma 90.00
loop_
_atom_site_label
_atom_site_type_symbol
_atom_site_fract_x
_atom_site_fract_y
_atom_site_fract_z
Ta1 Ta 0.000 0.000 0.000
Fe1 Fe 0.000 0.000 0.476
Fe2 Fe 0.500 0.500 0.247
Re1 Re 0.500 0.500 0.712


[12]
# K2PdF6 | Alexandria | GGA-PBEsol | relaxed
# energy = -4.335 eV/atom
# formation energy without anion corrections = -2136 meV/atom
# D(E_F) = 0.0000 states/eV/atom
# space group = P-3m1 (164)
data_K2PdF6
_symmetry_space_group_name_H-M 'P 1'
_symmetry_Int_Tables_number 1
_symmetry_space_group_name_Hall 'P 1'
_cell_length_a 5.699
_cell_length_b 5.699
_cell_length_c 4.628
_cell_angle_alpha 90.00
_cell_angle_beta 90.00
_cell_angle_gamma 120.00
loop_
_atom_site_label
_atom_site_type_symbol
_atom_site_fract_x
_atom_site_fract_y
_atom_site_fract_z
K1 K 0.333 0.667 0.220
K2 K 0.667 0.333 0.780
Pd1 Pd 0.000 0.000 0.500
F1 F 0.163 0.326 0.726
F2 F 0.163 0.837 0.726
F3 F 0.326 0.163 0.274
F4 F 0.674 0.837 0.726
F5 F 0.837 0.163 0.274
F6 F 0.837 0.674 0.274